K2NaWO4 | Alexandria | PBE+U | optimized geometry; final energy = -5.639 eV/atom; SG = I-4
1.0
-2.217 5.357 -0.989
-2.993 -3.505 3.653
5.047 -0.298 3.006
O K Na W
4 2 1 1
direct
0.950 0.566 0.177
0.611 0.384 0.434
0.389 0.823 0.773
0.050 0.227 0.616
0.500 0.750 0.250
0.000 0.000 0.000
0.500 0.250 0.750
0.000 0.500 0.500